1.
The following is a DFT calculation (PBE) of a geometry-optimized Mn2MoI structure.

Summary:
Energy relative to the elements, uncorrected in eV per atom: 1.343
Crystal system: tetragonal

Structure (CIF):
```
data_Mn2MoI
_cell_length_a 5.502
_cell_length_b 5.502
_cell_length_c 6.824
_cell_angle_alpha 66.22
_cell_angle_beta 66.22
_cell_angle_gamma 90.00
_space_group_name_H-M_alt 'P 1'
_space_group_IT_number 1
loop_
_space_group_symop_operation_xyz
'x,y,z'
loop_
_atom_site_label
_atom_site_type_symbol
_atom_site_fract_x
_atom_site_fract_y
_atom_site_fract_z
I1 I 0.000 0.000 0.000
I2 I 0.750 0.250 0.500
Mo1 Mo 0.500 0.500 0.000
Mo2 Mo 0.250 0.750 0.500
Mn1 Mn 0.594 0.125 0.250
Mn2 Mn 0.156 0.625 0.250
Mn3 Mn 0.375 0.406 0.750
Mn4 Mn 0.875 0.844 0.750
```

2.
The following is a DFT calculation (PBE) of a geometry-optimized ErGaAu4 structure.

Summary:
Total energy in eV for the cell shown: -47.04
Crystal system: triclinic

Structure (CIF):
```
data_ErGaAu4
_cell_length_a 5.183
_cell_length_b 5.195
_cell_length_c 9.800
_cell_angle_alpha 110.38
_cell_angle_beta 105.65
_cell_angle_gamma 90.21
_space_group_name_H-M_alt 'P 1'
_space_group_IT_number 1
loop_
_space_group_symop_operation_xyz
'x,y,z'
loop_
_atom_site_label
_atom_site_type_symbol
_atom_site_fract_x
_atom_site_fract_y
_atom_site_fract_z
Er1 Er 0.750 0.750 0.000
Er2 Er 0.250 0.250 0.000
Ga1 Ga 0.500 0.000 0.500
Ga2 Ga 0.000 0.500 0.500
Au1 Au 0.660 0.134 0.826
Au2 Au 0.839 0.366 0.174
Au3 Au 0.340 0.866 0.174
Au4 Au 0.161 0.634 0.826
Au5 Au 0.075 0.036 0.658
Au6 Au 0.425 0.464 0.342
Au7 Au 0.925 0.964 0.342
Au8 Au 0.575 0.536 0.658
```

| no. | calculated volume (Å³/cell) |
| --- | --- |
| 1 | 170 |
| 2 | 237 |